No. 1
The following is a DFT calculation (SCAN) of a crystal of CrAs2Se relaxed with PBEsol.

magnetization = 3.59 μB per formula unit
SG = I4/mmm, No. 139
E = -19.5425 eV per atom

a b c (Å): 3.780 3.780 5.683
angles (deg): 109.42 109.42 90.00
Fractional coordinates of all 4 atoms:
1 As 0.750 0.250 0.500
2 As 0.250 0.750 0.500
3 Se 0.000 0.000 0.000
4 Cr 0.500 0.500 0.000



No. 2
The following is a DFT calculation (SCAN) of a crystal of Li4MnO2F2 relaxed with PBEsol.

distance to the lowest polymorph of the same formula = 5 meV/atom
magnetization = 5.00 μB per formula unit
SG = P2_1/c, No. 14
E = -7.6686 eV per atom

a b c (Å): 4.904 5.926 6.104
angles (deg): 100.98 90.00 90.00
Fractional coordinates of all 18 atoms:
1 Li 0.490 0.609 0.204
2 Li 0.522 0.833 0.580
3 Li 0.510 0.391 0.796
4 Li 0.478 0.167 0.420
5 Li 0.010 0.609 0.704
6 Li 0.022 0.167 0.920
7 Li 0.978 0.833 0.080
8 Li 0.990 0.391 0.296
9 F 0.260 0.615 0.950
10 F 0.740 0.385 0.050
11 F 0.240 0.615 0.450
12 F 0.760 0.385 0.550
13 Mn 0.000 0.000 0.500
14 Mn 0.500 0.000 0.000
15 O 0.306 0.118 0.695
16 O 0.694 0.882 0.305
17 O 0.806 0.882 0.805
18 O 0.194 0.118 0.195



No. 3
The following is a DFT calculation (SCAN) of a crystal of Dy2AgIr relaxed with PBEsol.

magnetization = 0.00 μB per formula unit
SG = Fm-3m, No. 225
DFT formation energy = -750 meV/atom
E = -50.2652 eV per atom

a b c (Å): 4.885 4.885 4.885
angles (deg): 60.00 60.00 60.00
Fractional coordinates of all 4 atoms:
1 Dy 0.750 0.750 0.750
2 Dy 0.250 0.250 0.250
3 Ag 0.500 0.500 0.500
4 Ir 0.000 0.000 0.000